Record 1
Density functional theory data (PBE) for an optimized crystal structure of Pa2Pt3.

Lattice parameters (Å, degrees): 8.4016 8.4016 8.4016 109.47 109.47 109.47
Element x y z (fractional)
Pa (0.5729, 0.5000, 0.0000)
Pt (0.7662, 0.0162, 0.2500)
Pa (0.5000, 0.0729, 0.5000)
Pt (0.7500, 0.9838, 0.7338)
Pa (0.0000, 0.0000, 0.5729)
Pa (0.0000, 0.0000, 0.0729)
Pa (0.5000, 0.5729, 0.5000)
Pa (0.0729, 0.5000, 0.0000)
Pt (0.2500, 0.2338, 0.4838)
Pt (0.7500, 0.2662, 0.0162)
Pt (0.4838, 0.7338, 0.2500)
Pa (0.9271, 0.4271, 0.4271)
Pa (0.4271, 0.9271, 0.9271)
Pt (0.5162, 0.2500, 0.2662)
Pt (0.2338, 0.2500, 0.9838)
Pt (0.2500, 0.5162, 0.7662)
Pt (0.0162, 0.7662, 0.7500)
Pt (0.9838, 0.7500, 0.2338)
Pt (0.7338, 0.4838, 0.7500)
Pt (0.2662, 0.7500, 0.5162)

Computed properties:
**Formation energy**: -769.3 meV per atom
**Space group**: I-43d, No. 220
**Total moment**: 0.000 μB/atom
**Energy**: -8.192 eV/atom
**Energy relative to the lowest polymorph listed for this composition**: 11.55 kJ per mole of atoms

=====

Record 2
Density functional theory data (PBE) for an optimized crystal structure of Cd4PbCl.

Lattice parameters (Å, degrees): 5.9963 5.9963 5.9963 60.00 60.00 60.00
Element x y z (fractional)
Cd (0.3749, 0.8753, 0.3749)
Cd (0.3749, 0.3749, 0.8753)
Cl (0.7500, 0.7500, 0.7500)
Cd (0.8753, 0.3749, 0.3749)
Cd (0.3749, 0.3749, 0.3749)
Pb (0.0000, 0.0000, 0.0000)

Computed properties:
**Space group**: F-43m, No. 216
**Formation energy (no corrections)**: -0.48 eV/f.u.
**Total moment**: 0.000 μB/atom
**Energy**: -1.615 eV/atom

=====

Record 3
Density functional theory data (PBE) for an optimized crystal structure of MnBe2In.

Lattice parameters (Å, degrees): 3.7992 3.7992 3.5198 90.00 90.00 90.00
Element x y z (fractional)
Mn (0.0000, 0.5000, 0.5000)
In (0.5000, 0.0000, 0.5000)
Be (0.5000, 0.5000, 0.0000)
Be (0.0000, 0.0000, 0.0000)

Computed properties:
**Formation energy**: 231.9 meV per atom
**Space group**: P4/mmm, No. 123
**Total moment**: 0.603 μB/atom
**Energy**: -4.608 eV/atom

=====

Record 4
Density functional theory data (PBE) for an optimized crystal structure of Er6Bi3H.

Lattice parameters (Å, degrees): 5.0221 10.2407 10.2407 102.97 90.00 90.00
Element x y z (fractional)
Er (0.1555, 0.0755, 0.9245)
Er (0.1564, 0.4101, 0.2552)
Er (0.1585, 0.7460, 0.2540)
H (0.0776, 0.2074, 0.7926)
Bi (0.6590, 0.5932, 0.4068)
Er (0.6564, 0.5899, 0.7448)
Er (0.1560, 0.0817, 0.5860)
Bi (0.6550, 0.2606, 0.0713)
Bi (0.6550, 0.9287, 0.7394)
H (0.5776, 0.7926, 0.2074)
Bi (0.1550, 0.0713, 0.2606)
Bi (0.1550, 0.7394, 0.9287)
Er (0.6564, 0.2552, 0.4101)
Er (0.1560, 0.4140, 0.9183)
Er (0.6560, 0.5860, 0.0817)
Er (0.6585, 0.2540, 0.7460)
Bi (0.1590, 0.4068, 0.5932)
Er (0.1564, 0.7448, 0.5899)
Er (0.6555, 0.9245, 0.0755)
Er (0.6560, 0.9183, 0.4140)

Computed properties:
**Space group**: Cmc2_1, No. 36
**Total moment**: 0.000 μB/atom
**Energy**: -4.755 eV/atom

=====

Record 5
Density functional theory data (PBE) for an optimized crystal structure of Tb2CoAs.

Lattice parameters (Å, degrees): 3.8398 3.8398 8.7732 77.36 77.36 60.00
Element x y z (fractional)
Tb (0.9016, 0.9016, 0.2951)
Co (0.0000, 0.0000, 0.0000)
Tb (0.0984, 0.0984, 0.7049)
As (0.5000, 0.5000, 0.5000)

Computed properties:
**Formation energy**: 30.4 meV per atom
**Space group**: R-3m, No. 166
**Total moment**: 0.223 μB/atom
**Energy**: -5.224 eV/atom

=====

Record 6
Density functional theory data (PBE) for an optimized crystal structure of SiAg3I.

Lattice parameters (Å, degrees): 5.4043 5.4043 5.4043 90.00 90.00 90.00
Element x y z (fractional)
Ag (0.0000, 0.5000, 0.0000)
Ag (0.0000, 0.0000, 0.5000)
I (0.0000, 0.0000, 0.0000)
Ag (0.5000, 0.0000, 0.0000)
Si (0.5000, 0.5000, 0.5000)

Computed properties:
**Space group**: Pm-3m, No. 221
**Formation energy (no corrections)**: 5.92 eV/f.u.
**Total moment**: 0.289 μB/atom
**Energy**: -1.920 eV/atom
**Energy relative to the lowest polymorph listed for this composition**: 71.61 kJ per mole of atoms

=====

Record 7
Density functional theory data (PBE) for an optimized crystal structure of TlRhF2.

Lattice parameters (Å, degrees): 8.3006 8.3006 8.3006 21.42 21.42 21.42
Element x y z (fractional)
F (0.0817, 0.0817, 0.0817)
Tl (0.5000, 0.5000, 0.5000)
Rh (0.0000, 0.0000, 0.0000)
F (0.9183, 0.9183, 0.9183)

Computed properties:
**Space group**: R-3m, No. 166
**Formation energy (no corrections)**: -3.69 eV/f.u.
**Total moment**: 0.194 μB/atom
**Energy**: -4.288 eV/atom
**Energy relative to the lowest polymorph listed for this composition**: 0.00 kJ per mole of atoms

=====

Record 8
Density functional theory data (PBE) for an optimized crystal structure of NaLa2PtO.

Lattice parameters (Å, degrees): 4.9795 4.9795 4.3963 90.00 90.00 90.00
Element x y z (fractional)
La (0.5000, 0.0000, 0.0000)
O (0.0000, 0.0000, 0.0000)
La (0.0000, 0.5000, 0.0000)
Na (0.0000, 0.0000, 0.5000)
Pt (0.5000, 0.5000, 0.5000)

Computed properties:
**Space group**: P4/mmm, No. 123
**Formation energy (no corrections)**: -7.00 eV/f.u.
**Total moment**: 0.000 μB/atom
**Energy**: -5.834 eV/atom
**Energy relative to the lowest polymorph listed for this composition**: 0.00 kJ per mole of atoms